Entry 1:
Computed, not measured: a geometry-optimized RbBeGeAu structure at the PBE level of DFT.

Lattice parameters (Å, degrees): 5.0189 5.0189 5.0189 60.00 60.00 60.00
Atoms (fractional coordinates):
Be (0.0000, 0.0000, 0.0000)
Rb (0.5000, 0.5000, 0.5000)
Ge (0.2500, 0.2500, 0.2500)
Au (0.7500, 0.7500, 0.7500)

* polymorph energy (0 for the lowest one): 74 meV/atom

=====

Entry 2:
Computed, not measured: a geometry-optimized RbBeGeAu structure at the PBE level of DFT.

Lattice parameters (Å, degrees): 4.9086 4.9086 4.9086 60.00 60.00 60.00
Atoms (fractional coordinates):
Au (0.7500, 0.7500, 0.7500)
Ge (0.0000, 0.0000, 0.0000)
Rb (0.2500, 0.2500, 0.2500)
Be (0.5000, 0.5000, 0.5000)

* polymorph energy (0 for the lowest one): 0 meV/atom

=====

Entry 3:
Computed, not measured: a geometry-optimized HfBeAu structure at the PBE level of DFT.

Lattice parameters (Å, degrees): 4.3877 4.3877 4.3877 60.00 60.00 60.00
Atoms (fractional coordinates):
Au (0.2500, 0.2500, 0.2500)
Be (0.7500, 0.7500, 0.7500)
Hf (0.0000, 0.0000, 0.0000)

* polymorph energy (0 for the lowest one): 516 meV/atom

=====

Entry 4:
Computed, not measured: a geometry-optimized HfBeAu2 structure at the PBE level of DFT.

Lattice parameters (Å, degrees): 4.5371 4.5371 4.5371 60.00 60.00 60.00
Atoms (fractional coordinates):
Be (0.5000, 0.5000, 0.5000)
Au (0.7500, 0.7500, 0.7500)
Au (0.0000, 0.0000, 0.0000)
Hf (0.2500, 0.2500, 0.2500)

=====

| no. | final energy (eV/atom) |
| --- | --- |
| 1 | -2.377 |
| 2 | -2.451 |
| 3 | -5.240 |
| 4 | -5.224 |